This record from the Alexandria database describes a relaxed Tb2DyErBi5 crystal. The functional is PBE-GGA.

Unit cell a=5.3725 b=5.3725 c=11.8684 alpha=90.00 beta=90.00 gamma=90.00
Positions (direct):
Tb: 0.5000 0.5000 0.2683
Tb: 0.5000 0.5000 0.7317
Dy: 0.0000 0.0000 0.0000
Er: 0.0000 0.0000 0.5000
Bi: 0.0000 0.5000 0.5000
Bi: 0.5000 0.0000 0.5000
Bi: 0.0000 0.0000 0.7536
Bi: 0.0000 0.0000 0.2464
Bi: 0.5000 0.5000 0.0000

Summary:
Crystal system   tetragonal
DFT formation energy   -0.07 eV per formula unit
Fermi-level density of states   5.805 states/eV/cell
Size of the total moment   0.00 μB per cell



This record from the Alexandria database describes a relaxed Mn4TlTe8 crystal. The functional is PBE-GGA.

Unit cell a=7.6870 b=7.6870 c=9.4315 alpha=65.95 beta=65.95 gamma=60.00
Positions (direct):
Mn: 0.0000 0.5000 0.0000
Mn: 0.5000 0.5000 0.0000
Mn: 0.5000 0.0000 0.0000
Mn: 0.0000 0.0000 0.0000
Tl: 0.5000 0.5000 0.5000
Te: 0.7300 0.2286 0.8128
Te: 0.7714 0.2700 0.1872
Te: 0.2700 0.7714 0.1872
Te: 0.7714 0.7714 0.1872
Te: 0.7287 0.7287 0.8139
Te: 0.2713 0.2713 0.1861
Te: 0.2286 0.2286 0.8128
Te: 0.2286 0.7300 0.8128

Summary:
Crystal system   trigonal
DFT total energy   -66.8 eV for the cell shown
Fermi-level density of states   7.076 states/eV/cell
Size of the total moment   12.85 μB per cell



This record from the Alexandria database describes a relaxed BaAlS2Cl crystal. The functional is PBE-GGA.

Unit cell a=4.8074 b=4.8074 c=4.9080 alpha=90.00 beta=90.00 gamma=90.00
Positions (direct):
S: 0.0000 0.5000 0.0000
S: 0.5000 0.0000 0.0000
Al: 0.0000 0.0000 0.0000
Ba: 0.5000 0.5000 0.5000
Cl: 0.0000 0.0000 0.5000

Summary:
Crystal system   tetragonal
Offset from the most stable computed form   0 meV/atom
Fermi-level density of states   0.661 states/eV/cell
Size of the total moment   0.00 μB per cell



This record from the Alexandria database describes a relaxed Pm6HgS4 crystal. The functional is PBE-GGA.

Unit cell a=4.0571 b=7.0259 c=20.7639 alpha=90.00 beta=90.00 gamma=106.78
Positions (direct):
Pm: 0.5000 0.0000 0.0000
Pm: 0.5000 0.0000 0.5000
Pm: 0.0390 0.0780 0.3413
Pm: 0.9610 0.9220 0.6587
Pm: 0.9610 0.9220 0.8413
Pm: 0.0390 0.0780 0.1587
Pm: 0.7719 0.5439 0.4183
Pm: 0.2281 0.4561 0.5817
Pm: 0.2281 0.4561 0.9183
Pm: 0.7719 0.5439 0.0817
Pm: 0.3347 0.6693 0.2500
Pm: 0.6653 0.3307 0.7500
Hg: 0.6575 0.3149 0.2500
Hg: 0.3425 0.6851 0.7500
S: 0.8634 0.7268 0.5402
S: 0.4052 0.8103 0.1226
S: 0.1366 0.2732 0.4598
S: 0.5948 0.1897 0.8774
S: 0.8634 0.7268 0.9598
S: 0.1366 0.2732 0.0402
S: 0.5948 0.1897 0.6226
S: 0.4052 0.8103 0.3774

Summary:
Crystal system   orthorhombic
DFT total energy   -125.5 eV for the cell shown
Fermi-level density of states   13.190 states/eV/cell
Size of the total moment   0.62 μB per cell



This record from the Alexandria database describes a relaxed BeNbV2 crystal. The functional is PBE-GGA.

Unit cell a=3.4301 b=3.9909 c=3.9909 alpha=90.00 beta=90.00 gamma=90.00
Positions (direct):
Be: 0.5000 0.0000 0.0000
Nb: 0.5000 0.5000 0.5000
V: 0.0000 0.0000 0.5000
V: 0.0000 0.5000 0.0000

Summary:
Crystal system   tetragonal
DFT formation energy   0.27 eV per formula unit
Fermi-level density of states   3.588 states/eV/cell
Size of the total moment   0.00 μB per cell



This record from the Alexandria database describes a relaxed CsNa2ThI8 crystal. The functional is PBE-GGA.

Unit cell a=8.3328 b=8.3328 c=11.0003 alpha=92.59 beta=92.59 gamma=58.54
Positions (direct):
Cs: 0.0000 0.0000 0.5000
Na: 0.6734 0.6734 0.2151
Na: 0.3266 0.3266 0.7849
Th: 0.0000 0.0000 0.0000
I: 0.7429 0.2614 0.7971
I: 0.7877 0.7877 0.9803
I: 0.7368 0.7368 0.4888
I: 0.2632 0.2632 0.5112
I: 0.2123 0.2123 0.0197
I: 0.2614 0.7429 0.7971
I: 0.7386 0.2571 0.2029
I: 0.2571 0.7386 0.2029

Summary:
Crystal system   monoclinic
DFT total energy   -36.6 eV for the cell shown
Fermi-level density of states   6.423 states/eV/cell
Size of the total moment   0.19 μB per cell



- What is the formula in the third record?
  BaAlS2Cl